1.
# UAlNi6

Crystalline UAlNi6 at its relaxed geometry (GGA-PBE, the Alexandria database).

Calculated values
- Fermi-level density of states (states/eV per cell) = 4.3
- final energy (Ry/atom) = -0.48159
- distance to the lowest polymorph of the same formula (meV per atom) = 0.0
- space group = No. 187
- E_form (meV per atom) = -338

a b c (Å): 5.190 5.190 4.308
angles (deg): 90.00 90.00 120.00
Sites, in units of the cell vectors:
U  0.000  0.000  0.000
Al  0.333  0.667  0.500
Ni  0.347  0.174  0.500
Ni  0.502  0.004  0.000
Ni  0.502  0.498  0.000
Ni  0.826  0.174  0.500
Ni  0.826  0.653  0.500
Ni  0.996  0.498  0.000



2.
# Ac2AlCd

Crystalline Ac2AlCd at its relaxed geometry (GGA-PBE, the Alexandria database).

Calculated values
- Fermi-level density of states (states/eV per cell) = 3.0
- final energy (Ry/atom) = -0.25595
- space group = No. 123
- E_form (meV per atom) = -264

a b c (Å): 3.968 3.968 8.217
angles (deg): 90.00 90.00 90.00
Sites, in units of the cell vectors:
Ac  0.000  0.000  0.236
Ac  0.000  0.000  0.764
Al  0.500  0.500  0.000
Cd  0.500  0.500  0.500



3.
# Th8Te4C3Se

Crystalline Th8Te4C3Se at its relaxed geometry (GGA-PBE, the Alexandria database).

Calculated values
- Fermi-level density of states (states/eV per cell) = 9.8
- final energy (Ry/atom) = -0.54035
- formation energy from raw total energies (meV per atom) = -909
- space group = No. 166

a b c (Å): 8.752 8.752 8.752
angles (deg): 54.88 54.88 54.88
Sites, in units of the cell vectors:
Th  0.205  0.744  0.744
Th  0.229  0.229  0.229
Th  0.256  0.256  0.795
Th  0.256  0.795  0.256
Th  0.744  0.205  0.744
Th  0.744  0.744  0.205
Th  0.771  0.771  0.771
Th  0.795  0.256  0.256
Te  0.000  0.000  0.000
Te  0.000  0.500  0.500
Te  0.500  0.000  0.500
Te  0.500  0.500  0.000
C  0.000  0.000  0.500
C  0.000  0.500  0.000
C  0.500  0.000  0.000
Se  0.500  0.500  0.500



4.
# SrSmTm4S8

Crystalline SrSmTm4S8 at its relaxed geometry (GGA-PBE, the Alexandria database).

Calculated values
- Fermi-level density of states (states/eV per cell) = 3.5
- final energy (Ry/atom) = -0.44607
- formation energy from raw total energies (meV per atom) = -1976
- space group = No. 160

a b c (Å): 8.152 8.152 8.152
angles (deg): 59.37 59.37 59.37
Sites, in units of the cell vectors:
Sr  0.000  0.000  0.000
Sm  0.629  0.629  0.629
Tm  0.121  0.628  0.628
Tm  0.252  0.252  0.252
Tm  0.628  0.121  0.628
Tm  0.628  0.628  0.121
S  0.379  0.379  0.857
S  0.379  0.857  0.379
S  0.384  0.384  0.384
S  0.419  0.868  0.868
S  0.857  0.379  0.379
S  0.861  0.861  0.861
S  0.868  0.419  0.868
S  0.868  0.868  0.419



5.
# La6Ge2BiBr3

Crystalline La6Ge2BiBr3 at its relaxed geometry (GGA-PBE, the Alexandria database).

Calculated values
- Fermi-level density of states (states/eV per cell) = 5.7
- final energy (Ry/atom) = -0.38188
- formation energy from raw total energies (meV per atom) = -1221
- space group = No. 12

a b c (Å): 9.945 9.945 8.916
angles (deg): 100.95 100.95 26.09
Sites, in units of the cell vectors:
La  0.012  0.012  0.264
La  0.327  0.327  0.430
La  0.329  0.329  0.886
La  0.671  0.671  0.114
La  0.673  0.673  0.570
La  0.988  0.988  0.736
Ge  0.169  0.169  0.337
Ge  0.831  0.831  0.663
Bi  0.500  0.500  0.000
Br  0.162  0.162  0.834
Br  0.500  0.500  0.500
Br  0.838  0.838  0.166



6.
# Nb3TlCr

Crystalline Nb3TlCr at its relaxed geometry (GGA-PBE, the Alexandria database).

Calculated values
- Fermi-level density of states (states/eV per cell) = 3.8
- final energy (Ry/atom) = -0.56313
- distance to the lowest polymorph of the same formula (meV per atom) = 0.0
- space group = No. 221
- E_form (meV per atom) = 778

a b c (Å): 4.665 4.665 4.665
angles (deg): 90.00 90.00 90.00
Sites, in units of the cell vectors:
Nb  0.000  0.000  0.500
Nb  0.000  0.500  0.000
Nb  0.500  0.000  0.000
Tl  0.500  0.500  0.500
Cr  0.000  0.000  0.000



7.
# Ho4Er2Tl3H2

Crystalline Ho4Er2Tl3H2 at its relaxed geometry (GGA-PBE, the Alexandria database).

Calculated values
- Fermi-level density of states (states/eV per cell) = 8.3
- final energy (Ry/atom) = -0.29481
- space group = No. 139

a b c (Å): 12.631 12.631 12.631
angles (deg): 158.53 158.53 30.55
Sites, in units of the cell vectors:
Ho  0.085  0.585  0.500
Ho  0.415  0.915  0.500
Ho  0.585  0.085  0.500
Ho  0.915  0.415  0.500
Er  0.197  0.197  0.000
Er  0.803  0.803  0.000
Tl  0.325  0.325  0.000
Tl  0.500  0.500  0.000
Tl  0.675  0.675  0.000
H  0.102  0.102  0.000
H  0.898  0.898  0.000



8.
# Cs4La3TiS8

Crystalline Cs4La3TiS8 at its relaxed geometry (GGA-PBE, the Alexandria database).

Calculated values
- Fermi-level density of states (states/eV per cell) = 6.1
- final energy (Ry/atom) = -0.39419
- formation energy from raw total energies (meV per atom) = -1669
- space group = No. 166

a b c (Å): 9.402 9.402 9.402
angles (deg): 53.17 53.17 53.17
Sites, in units of the cell vectors:
Cs  0.000  0.000  0.000
Cs  0.000  0.500  0.500
Cs  0.500  0.000  0.500
Cs  0.500  0.500  0.000
La  0.000  0.000  0.500
La  0.000  0.500  0.000
La  0.500  0.000  0.000
Ti  0.500  0.500  0.500
S  0.231  0.231  0.231
S  0.254  0.712  0.712
S  0.288  0.288  0.746
S  0.288  0.746  0.288
S  0.712  0.254  0.712
S  0.712  0.712  0.254
S  0.746  0.288  0.288
S  0.769  0.769  0.769



9.
# La2FeCu3Ni12

Crystalline La2FeCu3Ni12 at its relaxed geometry (GGA-PBE, the Alexandria database).

Calculated values
- Fermi-level density of states (states/eV per cell) = 17.6
- final energy (Ry/atom) = -0.39193
- space group = No. 166
- E_form (meV per atom) = 222

a b c (Å): 9.112 9.112 9.112
angles (deg): 38.79 38.79 38.79
Sites, in units of the cell vectors:
La  0.157  0.157  0.157
La  0.843  0.843  0.843
Fe  0.500  0.500  0.500
Cu  0.000  0.500  0.500
Cu  0.500  0.000  0.500
Cu  0.500  0.500  0.000
Ni  0.078  0.078  0.689
Ni  0.078  0.689  0.078
Ni  0.154  0.566  0.566
Ni  0.311  0.922  0.922
Ni  0.434  0.434  0.846
Ni  0.434  0.846  0.434
Ni  0.566  0.154  0.566
Ni  0.566  0.566  0.154
Ni  0.689  0.078  0.078
Ni  0.846  0.434  0.434
Ni  0.922  0.311  0.922
Ni  0.922  0.922  0.311



10.
# Tm2Ga8Ir

Crystalline Tm2Ga8Ir at its relaxed geometry (GGA-PBE, the Alexandria database).

Calculated values
- Fermi-level density of states (states/eV per cell) = 5.2
- final energy (Ry/atom) = -0.31910
- space group = No. 123
- E_form (meV per atom) = -522

a b c (Å): 4.303 4.303 11.055
angles (deg): 90.00 90.00 90.00
Sites, in units of the cell vectors:
Tm  0.000  0.000  0.192
Tm  0.000  0.000  0.808
Ga  0.000  0.500  0.000
Ga  0.000  0.500  0.376
Ga  0.000  0.500  0.624
Ga  0.500  0.000  0.000
Ga  0.500  0.000  0.376
Ga  0.500  0.000  0.624
Ga  0.500  0.500  0.193
Ga  0.500  0.500  0.807
Ir  0.000  0.000  0.500



11.
# HoTm2Pu3Te6

Crystalline HoTm2Pu3Te6 at its relaxed geometry (GGA-PBE, the Alexandria database).

Calculated values
- Fermi-level density of states (states/eV per cell) = 32.3
- final energy (Ry/atom) = -0.52542
- formation energy from raw total energies (meV per atom) = -868
- space group = No. 12

a b c (Å): 8.498 8.498 11.003
angles (deg): 128.40 128.40 39.02
Sites, in units of the cell vectors:
Ho  0.000  0.000  0.000
Tm  0.254  0.254  0.401
Tm  0.746  0.746  0.599
Pu  0.311  0.311  0.896
Pu  0.500  0.500  0.500
Pu  0.689  0.689  0.104
Te  0.123  0.123  0.508
Te  0.252  0.252  0.123
Te  0.447  0.447  0.781
Te  0.553  0.553  0.219
Te  0.748  0.748  0.877
Te  0.877  0.877  0.492



12.
# RbPd2F8

Crystalline RbPd2F8 at its relaxed geometry (GGA-PBE, the Alexandria database).

Calculated values
- Fermi-level density of states (states/eV per cell) = 11.1
- final energy (Ry/atom) = -0.26903
- formation energy from raw total energies (meV per atom) = -1267
- space group = No. 123

a b c (Å): 5.118 5.118 6.829
angles (deg): 90.00 90.00 90.00
Sites, in units of the cell vectors:
Rb  0.000  0.000  0.000
Pd  0.000  0.500  0.500
Pd  0.500  0.000  0.500
F  0.251  0.251  0.327
F  0.251  0.251  0.673
F  0.251  0.749  0.327
F  0.251  0.749  0.673
F  0.749  0.251  0.327
F  0.749  0.251  0.673
F  0.749  0.749  0.327
F  0.749  0.749  0.673